# 1
A relaxed structure of Mg6FeCO8. Source: the Alexandria database, functional GGA+U.

Computed properties:
space-group type = P4/mmm (123)
V = 9.602 Å³ per atom
spin magnetization = 4.00 Bohr magnetons per cell
VASP energy = -94.56 eV/cell

a b c (Å): 4.2527 4.2527 8.4945
angles (deg): 90.00 90.00 90.00
Fractional positions:
Mg 0.5000 0.5000 0.0000
Mg 0.5000 0.5000 0.5000
Mg 0.0000 0.5000 0.2537
Mg 0.0000 0.5000 0.7463
Mg 0.5000 0.0000 0.2537
Mg 0.5000 0.0000 0.7463
Fe 0.0000 0.0000 0.0000
C 0.0000 0.0000 0.5000
O 0.0000 0.0000 0.2517
O 0.0000 0.0000 0.7483
O 0.5000 0.5000 0.2522
O 0.5000 0.5000 0.7478
O 0.0000 0.5000 0.0000
O 0.0000 0.5000 0.5000
O 0.5000 0.0000 0.0000
O 0.5000 0.0000 0.5000

***

# 2
A relaxed structure of Mg6FeCO8. Source: the Alexandria database, functional GGA+U.

Computed properties:
space-group type = P4/mmm (123)
Fermi-level density of states = 0.28 states/eV/atom
V = 9.593 Å³ per atom
spin magnetization = 4.49 Bohr magnetons per cell
VASP energy = -93.68 eV/cell

a b c (Å): 4.2353 4.2353 8.5569
angles (deg): 90.00 90.00 90.00
Fractional positions:
Mg 0.0000 0.0000 0.5000
Mg 0.5000 0.5000 0.5000
Mg 0.0000 0.5000 0.2470
Mg 0.0000 0.5000 0.7530
Mg 0.5000 0.0000 0.2470
Mg 0.5000 0.0000 0.7530
Fe 0.0000 0.0000 0.0000
C 0.5000 0.5000 0.0000
O 0.0000 0.0000 0.2517
O 0.0000 0.0000 0.7483
O 0.5000 0.5000 0.2518
O 0.5000 0.5000 0.7482
O 0.0000 0.5000 0.0000
O 0.0000 0.5000 0.5000
O 0.5000 0.0000 0.0000
O 0.5000 0.0000 0.5000

***

# 3
A relaxed structure of MgFeC2O6. Source: the Alexandria database, functional GGA+U.

Computed properties:
space-group type = P-1 (2)
Fermi-level density of states = 0.00 states/eV/atom
V = 9.904 Å³ per atom
spin magnetization = 4.01 Bohr magnetons per cell
VASP energy = -72.91 eV/cell

a b c (Å): 4.7352 4.7048 5.7996
angles (deg): 66.31 114.02 119.89
Fractional positions:
Mg 0.0000 0.0000 0.0000
Fe 0.5000 0.5000 0.5000
C 0.2515 0.7479 0.7544
C 0.7485 0.2521 0.2456
O 0.2453 0.0202 0.7547
O 0.5285 0.7537 0.7536
O 0.9818 0.4693 0.7552
O 0.4715 0.2463 0.2464
O 0.0182 0.5307 0.2448
O 0.7547 0.9798 0.2453

***

Q: Among the records above, which one has the lowest V?
A: number 2